(1)
# SmGaPO

SmGaPO after structural relaxation (GGA-PBE, OQMD via LeMat-Bulk).

Cell lengths 4.235, 4.235, 7.894 Å; angles 90.00, 90.00, 90.00 degrees
Space group P4/nmm (No. 129, origin choice 2)
Inequivalent atoms, fractional coordinates:
Sm 0.250 0.250 0.129 x2
Ga 0.250 0.750 0.500 x2
P 0.250 0.250 0.662 x2
O 0.250 0.750 0.000 x2

Results
- offset from the most stable computed form (eV per atom) = 0.000
- raw total energy (eV/atom) = -6.136
- V (Å³ per atom) = 17.70
- total magnetic moment (Bohr magnetons per cell) = 0.0

---

(2)
# TaGaPO

TaGaPO after structural relaxation (GGA-PBE, OQMD via LeMat-Bulk).

Cell lengths 3.968, 3.968, 7.592 Å; angles 90.00, 90.00, 90.00 degrees
Space group P4/nmm (No. 129, origin choice 2)
Inequivalent atoms, fractional coordinates:
Ta 0.250 0.750 0.000 x2
Ga 0.250 0.250 0.405 x2
P 0.250 0.250 0.797 x2
O 0.250 0.750 0.500 x2

Results
- offset from the most stable computed form (eV per atom) = 0.429
- raw total energy (eV/atom) = -6.869
- V (Å³ per atom) = 14.94
- total magnetic moment (Bohr magnetons per cell) = 0.1

---

(3)
# TaGaPO

TaGaPO after structural relaxation (GGA-PBE, OQMD via LeMat-Bulk).

Cell lengths 3.308, 7.364, 5.747 Å; angles 90.00, 90.00, 90.00 degrees
Space group Pmc2_1 (No. 26)
Inequivalent atoms, fractional coordinates:
Ta 0.000 0.011 0.000 x2
Ga 0.500 0.395 0.358 x2
P 0.500 0.180 0.743 x2
O 0.000 0.204 0.260 x2

Results
- offset from the most stable computed form (eV per atom) = 0.079
- raw total energy (eV/atom) = -7.220
- V (Å³ per atom) = 17.50
- total magnetic moment (Bohr magnetons per cell) = 0.0

---

(4)
# TaGaPO

TaGaPO after structural relaxation (GGA-PBE, OQMD via LeMat-Bulk).

Cell lengths 3.432, 3.432, 9.857 Å; angles 90.00, 90.00, 90.00 degrees
Space group P4/nmm (No. 129, origin choice 2)
Inequivalent atoms, fractional coordinates:
Ta 0.250 0.250 0.134 x2
Ga 0.250 0.750 0.500 x2
P 0.250 0.250 0.747 x2
O 0.250 0.750 0.000 x2

Results
- offset from the most stable computed form (eV per atom) = 0.148
- raw total energy (eV/atom) = -7.151
- V (Å³ per atom) = 14.51
- total magnetic moment (Bohr magnetons per cell) = 0.6